Here is a geometry-optimized PaMoF6 structure from Alexandria. Energies are from PBE with a Hubbard U.

Structure (POSCAR):
```
PaMoF6
1.0
0.492 -5.418 0.425
3.600 -7.397 3.992
-0.463 -8.940 7.507
Pa Mo F
1 1 6
Direct
0.500 0.500 0.500
0.000 0.000 0.000
0.278 0.779 0.220
0.261 0.403 0.275
0.701 0.953 0.720
0.739 0.597 0.725
0.722 0.221 0.780
0.299 0.047 0.280
```

Output
density: 5.6 Mg/m³
final energy: -6.4480 eV/atom